Density functional theory data (GGA+U) for a geometry-optimized NaAcMo2O8 structure.

**Mass density**: 5.202 g cm⁻³
**Uncorrected energy**: -7.114 eV/atom
**Crystal system**: tetragonal

Lattice parameters (Å, degrees): 5.497 5.497 7.166 112.55 112.55 90.00
Atoms (fractional coordinates):
O 0.100 0.971 0.669
O 0.659 0.280 0.839
O 0.029 0.431 0.331
Ac 0.000 0.000 0.000
O 0.442 0.341 0.161
Mo 0.500 0.500 0.000
O 0.720 0.820 0.161
O 0.569 0.698 0.669
Mo 0.250 0.750 0.500
O 0.180 0.558 0.839
O 0.302 0.900 0.331
Na 0.750 0.250 0.500